Here is crystalline BaMnGe2S6 at its relaxed geometry from the Alexandria database. Energies are from PBE-GGA.

## Properties
**Total moment**: 10.0 Bohr magnetons per cell
**Formation energy from raw total energies**: -736 meV/atom
**Space group**: C2/c, No. 15

abc: 6.896 9.701 9.701
angles: 73.14 59.60 59.60
Sites, in units of the cell vectors:
Ge (0.156, 0.376, 0.189)
S (0.622, 0.074, 0.614)
S (0.878, 0.386, 0.926)
Ge (0.344, 0.811, 0.624)
S (0.578, 0.829, 0.968)
Ge (0.656, 0.189, 0.376)
S (0.922, 0.032, 0.171)
S (0.758, 0.397, 0.342)
S (0.078, 0.968, 0.829)
S (0.122, 0.614, 0.074)
S (0.742, 0.658, 0.603)
Ba (0.750, 0.304, 0.696)
S (0.422, 0.171, 0.032)
S (0.378, 0.926, 0.386)
Mn (0.250, 0.109, 0.891)
S (0.242, 0.603, 0.658)
S (0.258, 0.342, 0.397)
Mn (0.750, 0.891, 0.109)
Ge (0.844, 0.624, 0.811)
Ba (0.250, 0.696, 0.304)